Compound: YHfTeO6
Source: Alexandria
Functional: PBE
Structure: optimized geometry

Output
- Calculated total energy: -7.9471 eV/atom
- V: 13.942 A^3/atom
- Space-group type: P-31c (163)
- Formation energy from raw total energies: -2.47 eV/atom
- Density of states at the Fermi level: 10.30 states/eV/cell

Cell lengths 5.4567, 5.4567, 9.7324 Å; angles 90.00, 90.00, 120.00 degrees
Closest atoms and distances in Å follow each position.
Atoms (fractional coordinates):
1 Y 0.0000 0.0000 0.0000  6 O 2.33
2 Y 0.0000 0.0000 0.5000  6 O 2.33
3 Hf 0.3333 0.6667 0.2500  6 O 2.10
4 Hf 0.6667 0.3333 0.7500  6 O 2.10
5 Te 0.3333 0.6667 0.7500  6 O 2.08
6 Te 0.6667 0.3333 0.2500  6 O 2.08
7 O 0.0032 0.3535 0.6364  1 Te 2.08, 1 Hf 2.10
8 O 0.0032 0.6498 0.8636  1 Te 2.08, 1 Hf 2.10
9 O 0.3502 0.3535 0.8636  1 Te 2.08, 1 Hf 2.10
10 O 0.3502 0.9968 0.6364  1 Te 2.08, 1 Hf 2.10
11 O 0.3535 0.0032 0.1364  1 Te 2.08, 1 Hf 2.10
12 O 0.3535 0.3502 0.3636  1 Te 2.08, 1 Hf 2.10
13 O 0.6465 0.6498 0.6364  1 Te 2.08, 1 Hf 2.10
14 O 0.6465 0.9968 0.8636  1 Te 2.08, 1 Hf 2.10
15 O 0.6498 0.0032 0.3636  1 Te 2.08, 1 Hf 2.10
16 O 0.6498 0.6465 0.1364  1 Te 2.08, 1 Hf 2.10
17 O 0.9968 0.3502 0.1364  1 Te 2.08, 1 Hf 2.10
18 O 0.9968 0.6465 0.3636  1 Te 2.08, 1 Hf 2.10



Compound: HfZnTeO6
Source: Alexandria
Functional: PBE
Structure: optimized geometry

Output
- Calculated total energy: -6.7192 eV/atom
- V: 12.308 A^3/atom
- Space-group type: P-31c (163)
- Formation energy from raw total energies: -1.82 eV/atom
- Density of states at the Fermi level: 0.00 states/eV/cell

Cell lengths 5.3118, 5.3118, 9.0666 Å; angles 90.00, 90.00, 120.00 degrees
Closest atoms and distances in Å follow each position.
Atoms (fractional coordinates):
1 Hf 0.3333 0.6667 0.2500  6 O 2.09
2 Hf 0.6667 0.3333 0.7500  6 O 2.09
3 Zn 0.0000 0.0000 0.0000  6 O 2.23
4 Zn 0.0000 0.0000 0.5000  6 O 2.23
5 Te 0.3333 0.6667 0.7500  6 O 1.96
6 Te 0.6667 0.3333 0.2500  6 O 1.96
7 O 0.0195 0.3621 0.6324  1 Te 1.96, 1 Hf 2.09
8 O 0.0195 0.6573 0.8676  1 Te 1.96, 1 Hf 2.09
9 O 0.3427 0.3621 0.8676  1 Te 1.96, 1 Hf 2.09
10 O 0.3427 0.9805 0.6324  1 Te 1.96, 1 Hf 2.09
11 O 0.3621 0.0195 0.1324  1 Te 1.96, 1 Hf 2.09
12 O 0.3621 0.3427 0.3676  1 Te 1.96, 1 Hf 2.09
13 O 0.6379 0.6573 0.6324  1 Te 1.96, 1 Hf 2.09
14 O 0.6379 0.9805 0.8676  1 Te 1.96, 1 Hf 2.09
15 O 0.6573 0.0195 0.3676  1 Te 1.96, 1 Hf 2.09
16 O 0.6573 0.6379 0.1324  1 Te 1.96, 1 Hf 2.09
17 O 0.9805 0.3427 0.1324  1 Te 1.96, 1 Hf 2.09
18 O 0.9805 0.6379 0.3676  1 Te 1.96, 1 Hf 2.09



Compound: HfThO
Source: Alexandria
Functional: PBE
Structure: optimized geometry

Output
- Calculated total energy: -8.8920 eV/atom
- V: 21.867 A^3/atom
- Space-group type: C2/m (12)
- Formation energy from raw total energies: -1.45 eV/atom
- Density of states at the Fermi level: 12.43 states/eV/cell

Cell lengths 11.3515, 11.3515, 6.6424 Å; angles 104.06, 104.06, 18.44 degrees
Closest atoms and distances in Å follow each position.
Atoms (fractional coordinates):
1 Hf 0.1927 0.1927 0.0759  4 O 2.05-2.26
2 Hf 0.1929 0.1929 0.5803  4 O 2.06-2.27
3 Hf 0.8071 0.8071 0.4197  4 O 2.06-2.27
4 Hf 0.8073 0.8073 0.9241  4 O 2.05-2.26
5 Th 0.0610 0.0610 0.2164  2 Hf 3.31-3.33, 5 Th 3.44-3.64
6 Th 0.4294 0.4294 0.2846  4 Hf 3.58-3.65, 9 Th 3.59-3.84, 2 O 3.95-3.99
7 Th 0.5706 0.5706 0.7154  4 Hf 3.58-3.65, 9 Th 3.59-3.84, 2 O 3.95-3.99
8 Th 0.9390 0.9390 0.7836  2 Hf 3.31-3.33, 5 Th 3.44-3.64
9 O 0.2630 0.2630 0.3855  4 Hf 2.06-2.27
10 O 0.2638 0.2638 0.8867  4 Hf 2.05-2.26
11 O 0.7362 0.7362 0.1133  4 Hf 2.05-2.26
12 O 0.7370 0.7370 0.6145  4 Hf 2.06-2.27



Compound: Hf3ThO
Source: Alexandria
Functional: PBE
Structure: optimized geometry

Output
- Calculated total energy: -9.2777 eV/atom
- V: 19.874 A^3/atom
- Space-group type: Pm-3m (221)
- Formation energy from raw total energies: -0.83 eV/atom
- Density of states at the Fermi level: 5.83 states/eV/cell

Cell lengths 4.6318, 4.6318, 4.6318 Å; angles 90.00, 90.00, 90.00 degrees
Closest atoms and distances in Å follow each position.
Atoms (fractional coordinates):
1 Hf 0.0000 0.0000 0.5000  2 O 2.32
2 Hf 0.0000 0.5000 0.0000  2 O 2.32
3 Hf 0.5000 0.0000 0.0000  2 O 2.32
4 Th 0.5000 0.5000 0.5000  12 Hf 3.28
5 O 0.0000 0.0000 0.0000  6 Hf 2.32



Compound: HfTh2O
Source: Alexandria
Functional: PBE
Structure: optimized geometry

Output
- Calculated total energy: -8.2047 eV/atom
- V: 23.350 A^3/atom
- Space-group type: R-3m (166)
- Formation energy from raw total energies: -0.77 eV/atom
- Density of states at the Fermi level: 4.63 states/eV/cell

Cell lengths 9.8372, 9.8372, 9.8372 Å; angles 19.57, 19.57, 19.57 degrees
Closest atoms and distances in Å follow each position.
Atoms (fractional coordinates):
1 Hf 0.0000 0.0000 0.0000  2 Th 3.14, 6 Hf 3.34
2 Th 0.1085 0.1085 0.1085  3 O 2.56
3 Th 0.8915 0.8915 0.8915  3 O 2.56
4 O 0.5000 0.5000 0.5000  6 Th 2.56



Compound: Hf2Th2O7
Source: Alexandria
Functional: PBE
Structure: optimized geometry

Output
- Calculated total energy: -9.7311 eV/atom
- V: 13.960 A^3/atom
- Space-group type: Fd-3m (227)
- Formation energy from raw total energies: -3.42 eV/atom
- Density of states at the Fermi level: 6.79 states/eV/cell

Cell lengths 7.5732, 7.5732, 7.5732 Å; angles 60.00, 60.00, 60.00 degrees
Closest atoms and distances in Å follow each position.
Atoms (fractional coordinates):
1 Hf 0.0000 0.0000 0.0000  6 O 2.21
2 Hf 0.0000 0.0000 0.5000  6 O 2.21
3 Hf 0.0000 0.5000 0.0000  6 O 2.21
4 Hf 0.5000 0.0000 0.0000  6 O 2.21
5 Th 0.0000 0.5000 0.5000  8 O 2.32-2.44
6 Th 0.5000 0.0000 0.5000  8 O 2.32-2.44
7 Th 0.5000 0.5000 0.0000  8 O 2.32-2.44
8 Th 0.5000 0.5000 0.5000  8 O 2.32-2.44
9 O 0.1059 0.1059 0.6441  2 Hf 2.21, 2 Th 2.44
10 O 0.1059 0.6441 0.1059  2 Hf 2.21, 2 Th 2.44
11 O 0.1059 0.6441 0.6441  2 Hf 2.21, 2 Th 2.44
12 O 0.3559 0.3559 0.8941  2 Hf 2.21, 2 Th 2.44
13 O 0.3559 0.8941 0.3559  2 Hf 2.21, 2 Th 2.44
14 O 0.3559 0.8941 0.8941  2 Hf 2.21, 2 Th 2.44
15 O 0.3750 0.3750 0.3750  4 Th 2.32
16 O 0.6250 0.6250 0.6250  4 Th 2.32
17 O 0.6441 0.1059 0.1059  2 Hf 2.21, 2 Th 2.44
18 O 0.6441 0.1059 0.6441  2 Hf 2.21, 2 Th 2.44
19 O 0.6441 0.6441 0.1059  2 Hf 2.21, 2 Th 2.44
20 O 0.8941 0.3559 0.3559  2 Hf 2.21, 2 Th 2.44
21 O 0.8941 0.3559 0.8941  2 Hf 2.21, 2 Th 2.44
22 O 0.8941 0.8941 0.3559  2 Hf 2.21, 2 Th 2.44



Compound: HfTiO
Source: Alexandria
Functional: PBE
Structure: optimized geometry

Output
- Distance to the lowest polymorph of the same formula: 0.1578 eV/atom
- Calculated total energy: -9.1714 eV/atom
- V: 14.808 A^3/atom
- Space-group type: Pmmn (59)
- Formation energy from raw total energies: -1.57 eV/atom
- Density of states at the Fermi level: 4.97 states/eV/cell

Cell lengths 3.1115, 4.4899, 6.3596 Å; angles 90.00, 90.00, 90.00 degrees
Closest atoms and distances in Å follow each position.
Atoms (fractional coordinates):
1 Hf 0.2500 0.2500 0.1507  4 O 2.24-2.27
2 Hf 0.7500 0.7500 0.8493  4 O 2.24-2.27
3 Ti 0.2500 0.7500 0.4409  1 O 2.15
4 Ti 0.7500 0.2500 0.5591  1 O 2.15
5 O 0.2500 0.7500 0.1032  1 Ti 2.15, 4 Hf 2.24-2.27
6 O 0.7500 0.2500 0.8968  1 Ti 2.15, 4 Hf 2.24-2.27



Compound: Hf4Ti2O
Source: Alexandria
Functional: PBE
Structure: optimized geometry

Output
- Calculated total energy: -9.0840 eV/atom
- V: 19.807 A^3/atom
- Space-group type: I4/mmm (139)
- Formation energy from raw total energies: -0.43 eV/atom
- Density of states at the Fermi level: 7.26 states/eV/cell

Cell lengths 8.0738, 8.0738, 8.0738 Å; angles 149.07, 149.07, 44.31 degrees
Closest atoms and distances in Å follow each position.
Atoms (fractional coordinates):
1 Hf 0.0000 0.5000 0.5000  2 O 2.15
2 Hf 0.1511 0.1511 0.0000  1 O 2.26
3 Hf 0.5000 0.0000 0.5000  2 O 2.15
4 Hf 0.8489 0.8489 0.0000  1 O 2.26
5 Ti 0.3541 0.3541 0.0000  9 Hf 3.04-3.06
6 Ti 0.6459 0.6459 0.0000  9 Hf 3.04-3.06
7 O 0.0000 0.0000 0.0000  6 Hf 2.15-2.26



Compound: HfTi2O
Source: Alexandria
Functional: PBE
Structure: optimized geometry

Output
- Calculated total energy: -8.4757 eV/atom
- V: 14.486 A^3/atom
- Space-group type: P4/mmm (123)
- Formation energy from raw total energies: -0.80 eV/atom
- Density of states at the Fermi level: 4.74 states/eV/cell

Cell lengths 2.7779, 2.7779, 7.5092 Å; angles 90.00, 90.00, 90.00 degrees
Closest atoms and distances in Å follow each position.
Atoms (fractional coordinates):
1 Hf 0.0000 0.0000 0.0000  4 Hf 2.78, 8 Ti 3.10
2 Ti 0.5000 0.5000 0.3188  4 O 2.39
3 Ti 0.5000 0.5000 0.6812  4 O 2.39
4 O 0.0000 0.0000 0.5000  8 Ti 2.39



Compound: HfTiO4
Source: Alexandria
Functional: PBE
Structure: optimized geometry

Output
- Calculated total energy: -9.5284 eV/atom
- V: 11.475 A^3/atom
- Space-group type: P2_12_12 (18)
- Formation energy from raw total energies: -3.25 eV/atom
- Density of states at the Fermi level: 0.00 states/eV/cell

Cell lengths 4.7343, 5.1196, 5.6810 Å; angles 90.00, 90.00, 90.00 degrees
Closest atoms and distances in Å follow each position.
Atoms (fractional coordinates):
1 Hf 0.0000 0.0000 0.0820  6 O 2.02-2.19
2 Hf 0.5000 0.5000 0.9180  6 O 2.02-2.19
3 Ti 0.0000 0.5000 0.4264  6 O 1.91-2.08
4 Ti 0.5000 0.0000 0.5736  6 O 1.91-2.08
5 O 0.2193 0.3392 0.1443  2 Hf 2.02-2.05, 1 Ti 2.08
6 O 0.2343 0.8261 0.3756  2 Ti 1.91-2.03
7 O 0.2657 0.3261 0.6244  2 Ti 1.91-2.03
8 O 0.2807 0.8392 0.8557  2 Hf 2.02-2.05, 1 Ti 2.08
9 O 0.7193 0.1608 0.8557  2 Hf 2.02-2.05, 1 Ti 2.08
10 O 0.7343 0.6739 0.6244  2 Ti 1.91-2.03
11 O 0.7657 0.1739 0.3756  2 Ti 1.91-2.03
12 O 0.7807 0.6608 0.1443  2 Hf 2.02-2.05, 1 Ti 2.08



Compound: HfTiO3
Source: Alexandria
Functional: PBE
Structure: optimized geometry

Output
- Calculated total energy: -8.8466 eV/atom
- V: 13.204 A^3/atom
- Space-group type: Pm-3m (221)
- Formation energy from raw total energies: -2.30 eV/atom
- Density of states at the Fermi level: 0.74 states/eV/cell

Cell lengths 4.0416, 4.0416, 4.0416 Å; angles 90.00, 90.00, 90.00 degrees
Closest atoms and distances in Å follow each position.
Atoms (fractional coordinates):
1 Hf 0.0000 0.0000 0.0000  6 O 2.02
2 Ti 0.5000 0.5000 0.5000  12 O 2.86
3 O 0.0000 0.0000 0.5000  2 Hf 2.02
4 O 0.0000 0.5000 0.0000  2 Hf 2.02
5 O 0.5000 0.0000 0.0000  2 Hf 2.02



Compound: HfTiO4
Source: Alexandria
Functional: PBE
Structure: optimized geometry

Output
- Calculated total energy: -9.5411 eV/atom
- V: 11.464 A^3/atom
- Space-group type: P1 (1)
- Formation energy from raw total energies: -3.26 eV/atom
- Density of states at the Fermi level: 0.00 states/eV/cell

Cell lengths 4.7688, 5.6773, 10.1641 Å; angles 90.27, 90.97, 90.14 degrees
Closest atoms and distances in Å follow each position.
Atoms (fractional coordinates):
1 Hf 0.0000 0.0000 0.0000  6 O 2.03-2.22
2 Hf 0.0030 0.0085 0.4947  6 O 2.04-2.16
3 Hf 0.0071 0.3687 0.7530  6 O 2.02-2.23
4 Hf 0.5086 0.5136 0.4930  6 O 2.03-2.15
5 Ti 0.0051 0.3743 0.2441  4 O 1.87-2.00
6 Ti 0.4996 0.8575 0.7498  5 O 1.89-2.08
7 Ti 0.5000 0.8702 0.2455  4 O 1.86-1.95
8 Ti 0.5059 0.5108 0.0012  5 O 1.90-2.06
9 O 0.2140 0.3017 0.4052  1 Ti 1.95, 2 Hf 2.04-2.16
10 O 0.2291 0.0673 0.1699  1 Ti 1.87, 1 Hf 2.06
11 O 0.2389 0.2977 0.9232  1 Ti 1.91, 1 Hf 2.08
12 O 0.2474 0.0704 0.6674  1 Ti 1.89, 1 Hf 2.12
13 O 0.2647 0.5666 0.1603  2 Ti 1.87-2.02
14 O 0.2776 0.7902 0.9063  2 Ti 1.96-2.15, 1 Hf 2.03
15 O 0.2818 0.5797 0.6608  2 Hf 2.02-2.07, 1 Ti 2.08
16 O 0.2934 0.8015 0.4051  1 Ti 1.95, 2 Hf 2.04-2.12
17 O 0.7043 0.7977 0.0868  2 Ti 1.94-2.06, 1 Hf 2.03
18 O 0.7209 0.5733 0.8444  2 Ti 1.94-2.15, 1 Hf 2.03
19 O 0.7312 0.7946 0.5916  1 Ti 2.00, 2 Hf 2.04-2.15
20 O 0.7490 0.5747 0.3264  1 Ti 1.88, 1 Hf 2.09
21 O 0.7591 0.0719 0.3263  1 Ti 1.86
22 O 0.7705 0.0658 0.8287  1 Ti 1.91, 1 Hf 2.08
23 O 0.7735 0.3071 0.0822  2 Ti 1.90-2.00
24 O 0.7875 0.2942 0.5819  3 Hf 2.03-2.12



What is the formation energy from raw total energies in the third record?
-1.45 eV/atom



Look up the formation energy from raw total energies of the seventh one.
-1.57 eV/atom